The following is a DFT calculation (PBE-GGA) of a relaxed structure of Li2Pb.

Unit cell a=4.6935 b=4.6935 c=4.6935 alpha=60.00 beta=60.00 gamma=60.00
With the nearest neighbours (Å) after each atom.
Fractional positions:
1 Li 0.7500 0.7500 0.7500  4 Pb 2.87
2 Li 0.2500 0.2500 0.2500  4 Pb 2.87
3 Pb 0.0000 0.0000 0.0000  8 Li 2.87

Properties
ΔH_f (0 K) = -21 meV/atom

=====

The following is a DFT calculation (PBE-GGA) of a relaxed structure of Tb2Pt7.

Unit cell a=5.4059 b=5.4059 c=13.6523 alpha=78.58 beta=78.58 gamma=60.00
With the nearest neighbours (Å) after each atom.
Fractional positions:
1 Tb 0.0485 0.0485 0.8545  12 Pt 3.13-3.32
2 Tb 0.9515 0.9515 0.1455  12 Pt 3.13-3.32
3 Tb 0.1471 0.1471 0.5588  12 Pt 3.04-3.33
4 Tb 0.8529 0.8529 0.4412  12 Pt 3.04-3.33
5 Pt 0.5000 0.5000 0.5000  6 Pt 2.69
6 Pt 0.2773 0.2773 0.1681  6 Pt 2.72-2.73
7 Pt 0.7227 0.7227 0.8319  6 Pt 2.72-2.73
8 Pt 0.3892 0.3892 0.8324  6 Pt 2.72-2.75
9 Pt 0.6108 0.6108 0.1676  6 Pt 2.72-2.75
10 Pt 0.5000 0.0000 0.0000  8 Pt 2.70-2.73
11 Pt 0.0000 0.5000 0.0000  8 Pt 2.70-2.73
12 Pt 0.5000 0.5000 0.0000  8 Pt 2.70-2.73
13 Pt 0.6144 0.6144 0.6634  7 Pt 2.67-2.75
14 Pt 0.6144 0.1079 0.6634  7 Pt 2.67-2.75
15 Pt 0.1079 0.6144 0.6634  7 Pt 2.67-2.75
16 Pt 0.3856 0.3856 0.3366  7 Pt 2.67-2.75
17 Pt 0.3856 0.8921 0.3366  7 Pt 2.67-2.75
18 Pt 0.8921 0.3856 0.3366  7 Pt 2.67-2.75

Properties
ΔH_f (0 K) = -867 meV/atom

=====

The following is a DFT calculation (PBE-GGA) of a relaxed structure of Rh2O3.

Unit cell a=4.1028 b=4.1028 c=4.1028 alpha=83.18 beta=83.18 gamma=83.18
With the nearest neighbours (Å) after each atom.
Fractional positions:
1 Rh 0.8695 0.8695 0.8695  3 O 1.96
2 Rh 0.5092 0.5092 0.5092  6 O 1.96-2.17
3 O 0.5504 0.0247 0.5504  3 Rh 1.96-2.17
4 O 0.5504 0.5504 0.0247  3 Rh 1.96-2.17
5 O 0.0247 0.5504 0.5504  3 Rh 1.96-2.17

Properties
E_form (uncorrected) = -0.125 eV per atom

=====

The following is a DFT calculation (PBE-GGA) of a relaxed structure of ThCdGaAu.

Unit cell a=5.0406 b=5.0406 c=5.0406 alpha=60.00 beta=60.00 gamma=60.00
With the nearest neighbours (Å) after each atom.
Fractional positions:
1 Au 0.5000 0.5000 0.5000  4 Cd 3.09, 4 Th 3.09
2 Ga 0.0000 0.0000 0.0000  4 Cd 3.09, 4 Th 3.09
3 Th 0.2500 0.2500 0.2500  4 Ga 3.09, 4 Au 3.09
4 Cd 0.7500 0.7500 0.7500  4 Au 3.09, 4 Ga 3.09

Properties
ΔH_f (0 K) = -450 meV/atom

=====

Table of D(E_F) (states/eV/cell), in record order: 2.98 16.33 4.46 2.00